Entry 1:
# TaV2N, optimized geometry, DFT GGA-PBE
# Uncorrected formation energy, eV per atom: -0.730
data_TaV2N
_space_group_name_H-M_alt 'P 1'
_space_group_IT_number 1
_space_group_name_Hall 'P 1'
_cell_length_a 2.8589
_cell_length_b 4.4076
_cell_length_c 4.5766
_cell_angle_alpha 118.79
_cell_angle_beta 95.75
_cell_angle_gamma 90.00
loop_
_atom_site_label
_atom_site_type_symbol
_atom_site_fract_x
_atom_site_fract_y
_atom_site_fract_z
Ta1 Ta 0.5000 0.0000 0.0000
V1 V 0.9297 0.3260 0.6519
V2 V 0.0703 0.6740 0.3481
N1 N 0.5000 0.5000 0.0000



Entry 2:
# Cs2IBr, optimized geometry, DFT GGA-PBE
# Uncorrected formation energy, eV per atom: -1.663
data_Cs2IBr
_space_group_name_H-M_alt 'P 1'
_space_group_IT_number 1
_space_group_name_Hall 'P 1'
_cell_length_a 9.3072
_cell_length_b 9.3072
_cell_length_c 9.3072
_cell_angle_alpha 131.64
_cell_angle_beta 131.64
_cell_angle_gamma 70.80
loop_
_atom_site_label
_atom_site_type_symbol
_atom_site_fract_x
_atom_site_fract_y
_atom_site_fract_z
Cs1 Cs 0.5115 0.0115 0.5000
Cs2 Cs 0.7615 0.7615 0.0000
Cs3 Cs 0.9885 0.4885 0.5000
Cs4 Cs 0.2385 0.2385 0.0000
I1 I 0.2500 0.7500 0.5000
I2 I 0.5000 0.5000 0.0000
Br1 Br 0.0000 0.0000 0.0000
Br2 Br 0.7500 0.2500 0.5000



Entry 3:
# Sm3InRu2, optimized geometry, DFT GGA-PBE
# Energy of formation from the pure elements, eV/atom: -0.3048
data_Sm3InRu2
_space_group_name_H-M_alt 'P 1'
_space_group_IT_number 1
_space_group_name_Hall 'P 1'
_cell_length_a 3.5063
_cell_length_b 3.5063
_cell_length_c 11.4876
_cell_angle_alpha 90.00
_cell_angle_beta 90.00
_cell_angle_gamma 90.00
loop_
_atom_site_label
_atom_site_type_symbol
_atom_site_fract_x
_atom_site_fract_y
_atom_site_fract_z
Sm1 Sm 0.0000 0.0000 0.0000
Sm2 Sm 0.0000 0.0000 0.7025
Sm3 Sm 0.0000 0.0000 0.2975
In1 In 0.5000 0.5000 0.5000
Ru1 Ru 0.5000 0.5000 0.8454
Ru2 Ru 0.5000 0.5000 0.1546



Entry 4:
# TaHgTe2, optimized geometry, DFT GGA-PBE
# Uncorrected formation energy, eV per atom: 0.285
data_TaHgTe2
_space_group_name_H-M_alt 'P 1'
_space_group_IT_number 1
_space_group_name_Hall 'P 1'
_cell_length_a 14.1927
_cell_length_b 14.1927
_cell_length_c 5.3696
_cell_angle_alpha 90.00
_cell_angle_beta 90.00
_cell_angle_gamma 167.92
loop_
_atom_site_label
_atom_site_type_symbol
_atom_site_fract_x
_atom_site_fract_y
_atom_site_fract_z
Te1 Te 0.1398 0.8602 0.2500
Te2 Te 0.8602 0.1398 0.7500
Te3 Te 0.9351 0.0649 0.2500
Te4 Te 0.0649 0.9351 0.7500
Hg1 Hg 0.2785 0.7215 0.2500
Hg2 Hg 0.7215 0.2785 0.7500
Ta1 Ta 0.0335 0.9665 0.2500
Ta2 Ta 0.9665 0.0335 0.7500



Entry 5:
# DyPuZnIr, optimized geometry, DFT GGA-PBE
# Energy of formation from the pure elements, eV/atom: -0.4213
data_DyPuZnIr
_space_group_name_H-M_alt 'P 1'
_space_group_IT_number 1
_space_group_name_Hall 'P 1'
_cell_length_a 4.9278
_cell_length_b 4.9278
_cell_length_c 4.9278
_cell_angle_alpha 60.00
_cell_angle_beta 60.00
_cell_angle_gamma 60.00
loop_
_atom_site_label
_atom_site_type_symbol
_atom_site_fract_x
_atom_site_fract_y
_atom_site_fract_z
Zn1 Zn 0.2500 0.2500 0.2500
Ir1 Ir 0.7500 0.7500 0.7500
Dy1 Dy 0.5000 0.5000 0.5000
Pu1 Pu 0.0000 0.0000 0.0000



Entry 6:
# TmCl2F, optimized geometry, DFT GGA-PBE
# Uncorrected formation energy, eV per atom: -2.918
data_TmCl2F
_space_group_name_H-M_alt 'P 1'
_space_group_IT_number 1
_space_group_name_Hall 'P 1'
_cell_length_a 3.9009
_cell_length_b 4.2761
_cell_length_c 7.2432
_cell_angle_alpha 107.17
_cell_angle_beta 105.59
_cell_angle_gamma 90.00
loop_
_atom_site_label
_atom_site_type_symbol
_atom_site_fract_x
_atom_site_fract_y
_atom_site_fract_z
Tm1 Tm 0.5000 0.0088 0.0000
Cl1 Cl 0.1325 0.1419 0.2656
Cl2 Cl 0.8675 0.8765 0.7344
F1 F 0.5000 0.5088 0.0000



| no. | VASP energy (eV/f.u.) | total moment (Bohr magnetons per cell) |
| --- | --- | --- |
| 1 | -41.34 | 0.000 |
| 2 | -11.58 | 0.000 |
| 3 | -37.28 | 0.000 |
| 4 | -17.30 | 0.000 |
| 5 | -30.75 | 5.140 |
| 6 | -21.71 | 0.000 |